Here is CrAuN2O after structural relaxation from Alexandria. Energies are from GGA+U.

As for the crystal system: tetragonal. The calculation puts the total energy at -4.98 eV/atom.

The space group is P4/mmm (No. 123) and the conventional cell measures 4.014, 4.014 and 4.319 Å, with angles of 90.00, 90.00 and 90.00 degrees. Symmetry generates all atoms from Cr at (0.000, 0.000, 0.000), Au at (0.500, 0.500, 0.500), N at (0.000, 0.500, 0.500) and O at (0.500, 0.500, 0.000).